[1]
# PBE TaAl2NiRu, optimized geometry
data_TaAl2NiRu
_cell_length_a 4.896
_cell_length_b 4.896
_cell_length_c 4.370
_cell_angle_alpha 90.00
_cell_angle_beta 90.00
_cell_angle_gamma 90.00
_symmetry_space_group_name_H-M 'P 4/m m m'
_symmetry_Int_Tables_number 123
_symmetry_space_group_name_Hall '-P 4 2'
loop_
_atom_site_label
_atom_site_type_symbol
_atom_site_fract_x
_atom_site_fract_y
_atom_site_fract_z
Ta1 Ta 0.000 0.000 0.000
Al1 Al 0.000 0.500 0.000
Ni1 Ni 0.000 0.000 0.500
Ru1 Ru 0.500 0.500 0.500
# **Formation energy**: 7.70 eV per formula unit
# **N(E_F)**: 1.09 states/eV per atom
# **V**: 20.9 Å³/atom

[2]
# PBE Ba2CuSnH, optimized geometry
data_Ba2CuSnH
_cell_length_a 5.956
_cell_length_b 5.956
_cell_length_c 3.959
_cell_angle_alpha 90.00
_cell_angle_beta 90.00
_cell_angle_gamma 90.00
_symmetry_space_group_name_H-M 'P 4/m m m'
_symmetry_Int_Tables_number 123
_symmetry_space_group_name_Hall '-P 4 2'
loop_
_atom_site_label
_atom_site_type_symbol
_atom_site_fract_x
_atom_site_fract_y
_atom_site_fract_z
Ba1 Ba 0.000 0.500 0.000
Cu1 Cu 0.000 0.000 0.500
Sn1 Sn 0.500 0.500 0.500
H1 H 0.000 0.000 0.000
# **DFT total energy**: -3.336 eV per atom
# **N(E_F)**: 0.39 states/eV per atom
# **V**: 28.1 Å³/atom